1.
VASP calculation (GGA-PBE) on an optimized crystal structure of Al2CoRh.

Cell and atoms, written as POSCAR:
```
Al2CoRh
1.0
4.0141 -1.4232 0.0000
4.0141 1.4232 0.0000
-1.0676 0.0000 4.6864
Al Co Rh
2 1 1
Cartesian
1.7224 0.0000 1.1230
5.2381 0.0000 3.5634
4.0141 0.0000 0.0000
-0.5338 0.0000 2.3432
```

**Total magnetic moment**: 0.951 μB per cell
**Formation energy**: -0.484 eV/atom
**Volume**: 54 Å³/cell



2.
VASP calculation (GGA-PBE) on an optimized crystal structure of AlCoRh.

Cell and atoms, written as POSCAR:
```
AlCoRh
1.0
4.0788 0.0000 0.0000
-2.0394 3.5323 0.0000
0.0000 0.0000 2.7319
Al Co Rh
1 1 1
Cartesian
0.0000 0.0000 0.0000
2.0394 1.1774 0.6088
0.0000 2.3549 1.7378
```

**Total magnetic moment**: 1.863 μB per cell
**Formation energy**: -0.346 eV/atom
**Offset from the most stable computed form**: 104.5 meV per atom
**Volume**: 39 Å³/cell



3.
VASP calculation (GGA-PBE) on an optimized crystal structure of AlCoRh2.

Cell and atoms, written as POSCAR:
```
AlCoRh2
1.0
1.3904 0.8028 8.1058
-1.3904 0.8028 8.1058
0.0000 -1.6055 8.1058
Al Co Rh
1 1 2
Cartesian
0.0000 0.0000 0.0000
0.0000 0.0000 12.1587
0.0000 0.0000 6.1109
0.0000 0.0000 18.2065
```

**Total magnetic moment**: 2.422 μB per cell
**Formation energy**: -0.284 eV/atom
**Volume**: 54 Å³/cell



4.
VASP calculation (GGA-PBE) on an optimized crystal structure of AlCo2Rh.

Cell and atoms, written as POSCAR:
```
AlCo2Rh
1.0
-1.4332 2.0490 4.2422
1.4332 -2.0490 4.2422
1.4332 2.0490 -4.2422
Al Co Rh
1 2 1
Cartesian
0.0000 0.0000 0.0000
1.4332 0.0000 2.0524
0.0000 2.0490 2.1898
0.0000 0.0000 4.2422
```

**Total magnetic moment**: 3.579 μB per cell
**Formation energy**: -0.308 eV/atom
**Volume**: 50 Å³/cell



5.
VASP calculation (GGA-PBE) on an optimized crystal structure of Al5CoRh4.

Cell and atoms, written as POSCAR:
```
Al5CoRh4
1.0
2.9784 0.0000 0.0000
0.0000 2.9784 0.0000
0.0000 0.0000 14.8494
Al Co Rh
5 1 4
Cartesian
0.0000 0.0000 0.0000
0.0000 0.0000 3.0327
0.0000 0.0000 6.0636
0.0000 0.0000 8.7858
0.0000 0.0000 11.8167
1.4892 1.4892 7.4247
1.4892 1.4892 1.5097
1.4892 1.4892 4.5297
1.4892 1.4892 10.3197
1.4892 1.4892 13.3397
```

**Total magnetic moment**: 0.305 μB per cell
**Formation energy**: -0.991 eV/atom
**Volume**: 132 Å³/cell



6.
VASP calculation (GGA-PBE) on an optimized crystal structure of AlCoRh2.

Cell and atoms, written as POSCAR:
```
AlCoRh2
1.0
2.7451 0.0000 0.0000
0.0000 3.9988 0.0000
-1.3718 0.0000 4.8759
Al Co Rh
1 1 2
Cartesian
0.0000 0.0000 0.0000
-0.0062 1.9994 1.4428
-0.0002 1.9994 3.9734
1.3689 0.0000 2.3110
```

**Total magnetic moment**: 2.330 μB per cell
**Formation energy**: -0.341 eV/atom
**Volume**: 54 Å³/cell



7.
VASP calculation (GGA-PBE) on an optimized crystal structure of AlCo2Rh.

Cell and atoms, written as POSCAR:
```
AlCo2Rh
1.0
-1.7384 1.7384 9.0230
1.7384 -1.7384 9.0230
1.7384 1.7384 -9.0230
Al Co Rh
2 4 2
Cartesian
0.0000 0.0000 0.0000
0.0000 1.7384 4.5115
2.6076 0.7874 -2.2557
0.7874 0.8692 2.2557
-0.8692 0.9510 6.7672
0.9510 0.8692 11.2787
1.7384 0.0000 4.5115
0.0000 0.0000 9.0230
```

**Total magnetic moment**: 7.292 μB per cell
**Formation energy**: 0.070 eV/atom
**Volume**: 109 Å³/cell



8.
VASP calculation (GGA-PBE) on an optimized crystal structure of Al2CoRh.

Cell and atoms, written as POSCAR:
```
Al2CoRh
1.0
2.9404 0.0000 0.0000
0.0000 2.9404 0.0000
0.0000 0.0000 5.8298
Al Co Rh
2 1 1
Cartesian
0.0000 0.0000 1.3784
0.0000 0.0000 4.4514
1.4702 1.4702 0.0000
1.4702 1.4702 2.9149
```

**Total magnetic moment**: 0.199 μB per cell
**Formation energy**: -0.838 eV/atom
**Volume**: 50 Å³/cell